The following is a PBE-GGA calculation of a geometry-optimized Li3Ag4Sn structure, from the Alexandria database.

Results
energy above the lowest structure with this stoichiometry: 0 meV per atom

a b c (Å): 3.2652 4.6427 10.9076
angles (deg): 71.41 63.32 89.99
Sites, in units of the cell vectors:
Ag 0.7604 0.2531 0.4931
Ag 0.6449 0.3346 0.2367
Ag 0.3551 0.6654 0.7633
Ag 0.2396 0.7469 0.5069
Li 0.1030 0.8202 0.2646
Li 0.8970 0.1798 0.7354
Li 0.5000 0.5000 0.0000
Sn 0.0000 0.0000 0.0000

=====

The following is a PBE-GGA calculation of a geometry-optimized Mg4In4Pb3 structure, from the Alexandria database.

Results
energy above the lowest structure with this stoichiometry: 17 meV per atom

a b c (Å): 4.5549 7.4344 9.2715
angles (deg): 90.00 90.00 107.84
Sites, in units of the cell vectors:
Mg 0.7530 0.5061 0.2601
Mg 0.9235 0.8470 0.0000
Mg 0.9275 0.8549 0.5000
Mg 0.7530 0.5061 0.7399
Pb 0.4115 0.8230 0.2713
Pb 0.4115 0.8230 0.7287
Pb 0.2539 0.5079 0.0000
In 0.0914 0.1829 0.7387
In 0.0914 0.1829 0.2613
In 0.5746 0.1492 0.0000
In 0.6070 0.2140 0.5000

=====

The following is a PBE-GGA calculation of a geometry-optimized Tb2DyY6Ho structure, from the Alexandria database.

Results
VASP energy: -5.605 eV/atom

a b c (Å): 9.6482 8.7654 8.7654
angles (deg): 117.66 94.53 94.53
Sites, in units of the cell vectors:
Dy 0.7500 0.0221 0.9779
Dy 0.2500 0.9779 0.0221
Y 0.6846 0.0174 0.5716
Y 0.8154 0.4284 0.9826
Y 0.8813 0.2926 0.5037
Y 0.9438 0.8773 0.2486
Y 0.4438 0.2486 0.8773
Y 0.1846 0.5716 0.0174
Y 0.1187 0.7074 0.4963
Y 0.0562 0.1227 0.7514
Y 0.6187 0.4963 0.7074
Y 0.3154 0.9826 0.4284
Y 0.3813 0.5037 0.2926
Y 0.5562 0.7514 0.1227
Tb 0.5452 0.1956 0.2975
Tb 0.9548 0.7025 0.8044
Tb 0.0452 0.2975 0.1956
Tb 0.4548 0.8044 0.7025
Ho 0.7500 0.5920 0.4080
Ho 0.2500 0.4080 0.5920

=====

The following is a PBE-GGA calculation of a geometry-optimized ScFeSe3 structure, from the Alexandria database.

Results
energy above the lowest structure with this stoichiometry: 0 meV per atom
energy relative to the elements, uncorrected: -22.2 kJ/mol of atoms

a b c (Å): 4.7527 4.7527 4.7527
angles (deg): 90.00 90.00 90.00
Last column: magnetic moment on the atom in μB.
Sites, in units of the cell vectors:
Se 0.5000 0.0000 0.0000  0.10
Se 0.0000 0.5000 0.0000  0.03
Se 0.0000 0.0000 0.5000  0.06
Fe 0.0000 0.0000 0.0000  2.42
Sc 0.5000 0.5000 0.5000  -0.03

=====

The following is a PBE-GGA calculation of a geometry-optimized Th2GaCoC structure, from the Alexandria database.

Results
VASP energy: -7.213 eV/atom

a b c (Å): 3.9394 6.6114 8.4961
angles (deg): 112.91 90.00 90.00
Sites, in units of the cell vectors:
Ga 0.2500 0.7039 0.2912
Ga 0.7500 0.2961 0.7088
Co 0.7500 0.4845 0.2601
Co 0.2500 0.5155 0.7399
Th 0.7500 0.7793 0.0265
Th 0.2500 0.2262 0.3990
Th 0.7500 0.7738 0.6010
Th 0.2500 0.2207 0.9735
C 0.7500 0.1777 0.1821
C 0.2500 0.8223 0.8179

=====

The following is a PBE-GGA calculation of a geometry-optimized ZrTlP2 structure, from the Alexandria database.

Results
energy above the lowest structure with this stoichiometry: 412 meV per atom

a b c (Å): 5.8475 5.8475 5.8475
angles (deg): 141.22 141.22 56.00
Sites, in units of the cell vectors:
Zr 0.7500 0.2500 0.5000
Tl 0.5000 0.5000 0.0000
P 0.0000 0.0000 0.0000
P 0.2500 0.7500 0.5000

=====

The following is a PBE-GGA calculation of a geometry-optimized Hg3I structure, from the Alexandria database.

Results
energy above the lowest structure with this stoichiometry: 33 meV per atom
energy relative to the elements, uncorrected: -6.8 kJ/mol of atoms

a b c (Å): 6.9694 6.9694 6.9694
angles (deg): 96.10 96.10 96.10
Sites, in units of the cell vectors:
I 0.7115 0.7115 0.7115
I 0.2885 0.2885 0.2885
Hg 0.8572 0.3330 0.8572
Hg 0.1428 0.6670 0.1428
Hg 0.6670 0.1428 0.1428
Hg 0.1428 0.1428 0.6670
Hg 0.8572 0.8572 0.3330
Hg 0.3330 0.8572 0.8572

=====

The following is a PBE-GGA calculation of a geometry-optimized HfBSb2I structure, from the Alexandria database.

Results
energy above the lowest structure with this stoichiometry: 289 meV per atom
energy relative to the elements, uncorrected: 108.0 kJ/mol of atoms

a b c (Å): 5.5444 5.5444 5.6690
angles (deg): 90.00 90.00 90.00
Sites, in units of the cell vectors:
I 0.0000 0.0000 0.5000
Sb 0.5000 0.0000 0.0000
Sb 0.0000 0.5000 0.0000
B 0.5000 0.5000 0.5000
Hf 0.0000 0.0000 0.0000

=====

The following is a PBE-GGA calculation of a geometry-optimized HoTh2Sc structure, from the Alexandria database.

Results
energy above the lowest structure with this stoichiometry: 0 meV per atom

a b c (Å): 3.5236 3.5236 9.6607
angles (deg): 90.00 90.00 90.00
Sites, in units of the cell vectors:
Th 0.0000 0.0000 0.2394
Th 0.0000 0.0000 0.7606
Ho 0.5000 0.5000 0.5000
Sc 0.5000 0.5000 0.0000

=====

The following is a PBE-GGA calculation of a geometry-optimized RbNaHg5 structure, from the Alexandria database.

Results
VASP energy: -0.711 eV/atom

a b c (Å): 4.6515 4.6515 10.6022
angles (deg): 90.00 90.00 90.00
Sites, in units of the cell vectors:
Rb 0.0000 0.0000 0.5000
Hg 0.0000 0.5000 0.2281
Hg 0.5000 0.0000 0.7719
Hg 0.0000 0.5000 0.7719
Hg 0.0000 0.0000 0.0000
Hg 0.5000 0.0000 0.2281
Na 0.5000 0.5000 0.0000

=====

The following is a PBE-GGA calculation of a geometry-optimized SiPdN2 structure, from the Alexandria database.

Results
energy relative to the elements, uncorrected: -14.3 kJ/mol of atoms

a b c (Å): 4.7004 4.7004 5.2302
angles (deg): 63.30 63.30 90.00
Sites, in units of the cell vectors:
Pd 0.0000 0.0000 0.0000
Pd 0.7500 0.2500 0.5000
Si 0.5000 0.5000 0.0000
Si 0.2500 0.7500 0.5000
N 0.8750 0.7976 0.7500
N 0.3750 0.4524 0.7500
N 0.5476 0.1250 0.2500
N 0.2024 0.6250 0.2500

=====

The following is a PBE-GGA calculation of a geometry-optimized Ba3Sr4 structure, from the Alexandria database.

Results
energy above the lowest structure with this stoichiometry: 74 meV per atom

a b c (Å): 7.9053 7.9053 7.7402
angles (deg): 90.00 90.00 120.00
Sites, in units of the cell vectors:
Ba 0.5000 0.5000 0.0000
Ba 0.0000 0.5000 0.0000
Ba 0.5000 0.0000 0.0000
Sr 0.0000 0.0000 0.2549
Sr 0.3333 0.6667 0.5000
Sr 0.6667 0.3333 0.5000
Sr 0.0000 0.0000 0.7451